# 1
Density functional theory data (PBE+U) for RbV2SbO8 after structural relaxation.

The value obtained for the total energy is -6.75 eV per atom.

Cell and atoms, written as CIF:
```
data_RbV2SbO8
_chemical_formula_sum 'Rb4 V8 Sb4 O32'
_cell_length_a 15.463
_cell_length_b 5.642
_cell_length_c 8.938
_cell_angle_alpha 90.00
_cell_angle_beta 90.00
_cell_angle_gamma 90.00
_symmetry_space_group_name_H-M 'P 1'
_symmetry_Int_Tables_number 1
_symmetry_space_group_name_Hall 'P 1'
loop_
_atom_site_label
_atom_site_type_symbol
_atom_site_fract_x
_atom_site_fract_y
_atom_site_fract_z
_atom_site_occupancy
Rb1 Rb 0.113 0.250 0.048 1
Rb2 Rb 0.387 0.750 0.548 1
Rb3 Rb 0.613 0.250 0.452 1
Rb4 Rb 0.887 0.750 0.952 1
V1 V 0.016 0.750 0.295 1
V2 V 0.215 0.250 0.471 1
V3 V 0.285 0.750 0.971 1
V4 V 0.484 0.250 0.795 1
V5 V 0.516 0.750 0.205 1
V6 V 0.715 0.250 0.029 1
V7 V 0.785 0.750 0.529 1
V8 V 0.984 0.250 0.705 1
Sb1 Sb 0.128 0.750 0.663 1
Sb2 Sb 0.372 0.250 0.163 1
Sb3 Sb 0.628 0.750 0.837 1
Sb4 Sb 0.872 0.250 0.337 1
O1 O 0.051 0.503 0.749 1
O2 O 0.051 0.997 0.749 1
O3 O 0.057 0.750 0.477 1
O4 O 0.092 0.750 0.167 1
O5 O 0.130 0.250 0.363 1
O6 O 0.188 0.750 0.862 1
O7 O 0.212 0.509 0.586 1
O8 O 0.212 0.991 0.586 1
O9 O 0.288 0.009 0.086 1
O10 O 0.288 0.491 0.086 1
O11 O 0.312 0.250 0.362 1
O12 O 0.370 0.750 0.863 1
O13 O 0.408 0.250 0.667 1
O14 O 0.443 0.250 0.977 1
O15 O 0.449 0.003 0.249 1
O16 O 0.449 0.497 0.249 1
O17 O 0.551 0.503 0.751 1
O18 O 0.551 0.997 0.751 1
O19 O 0.557 0.750 0.023 1
O20 O 0.592 0.750 0.333 1
O21 O 0.630 0.250 0.137 1
O22 O 0.688 0.750 0.638 1
O23 O 0.712 0.509 0.914 1
O24 O 0.712 0.991 0.914 1
O25 O 0.788 0.009 0.414 1
O26 O 0.788 0.491 0.414 1
O27 O 0.812 0.250 0.138 1
O28 O 0.870 0.750 0.637 1
O29 O 0.908 0.250 0.833 1
O30 O 0.943 0.250 0.523 1
O31 O 0.949 0.003 0.251 1
O32 O 0.949 0.497 0.251 1
```

=====

# 2
Density functional theory data (PBE+U) for RbSbWO6 after structural relaxation.

The polymorph energy (0 for the lowest one) comes out at 62 meV/atom.

Cell and atoms, written as CIF:
```
data_RbSbWO6
_chemical_formula_sum 'Rb1 Sb1 W1 O6'
_cell_length_a 5.382
_cell_length_b 5.382
_cell_length_c 6.348
_cell_angle_alpha 90.00
_cell_angle_beta 90.00
_cell_angle_gamma 120.00
_symmetry_space_group_name_H-M 'P 1'
_symmetry_Int_Tables_number 1
_symmetry_space_group_name_Hall 'P 1'
loop_
_atom_site_label
_atom_site_type_symbol
_atom_site_fract_x
_atom_site_fract_y
_atom_site_fract_z
_atom_site_occupancy
Rb1 Rb 0.000 0.000 0.000 1
Sb1 Sb 0.667 0.333 0.500 1
W1 W 0.333 0.667 0.500 1
O1 O 0.008 0.400 0.676 1
O2 O 0.008 0.608 0.324 1
O3 O 0.392 0.400 0.324 1
O4 O 0.392 0.992 0.676 1
O5 O 0.600 0.608 0.676 1
O6 O 0.600 0.992 0.324 1
```

=====

# 3
Density functional theory data (PBE+U) for RbSbWO6 after structural relaxation.

The polymorph energy (0 for the lowest one) comes out at 0 meV/atom.

Cell and atoms, written as CIF:
```
data_RbSbWO6
_chemical_formula_sum 'Rb2 Sb2 W2 O12'
_cell_length_a 7.377
_cell_length_b 7.377
_cell_length_c 7.377
_cell_angle_alpha 120.73
_cell_angle_beta 119.69
_cell_angle_gamma 89.63
_symmetry_space_group_name_H-M 'P 1'
_symmetry_Int_Tables_number 1
_symmetry_space_group_name_Hall 'P 1'
loop_
_atom_site_label
_atom_site_type_symbol
_atom_site_fract_x
_atom_site_fract_y
_atom_site_fract_z
_atom_site_occupancy
Rb1 Rb 0.366 0.116 0.250 1
Rb2 Rb 0.634 0.884 0.750 1
Sb1 Sb 0.000 0.000 0.500 1
Sb2 Sb 0.000 0.500 0.000 1
W1 W 0.000 0.500 0.500 1
W2 W 0.500 0.500 0.000 1
O1 O 0.066 0.434 0.254 1
O2 O 0.066 0.812 0.632 1
O3 O 0.075 0.825 0.250 1
O4 O 0.309 0.559 0.750 1
O5 O 0.320 0.188 0.754 1
O6 O 0.320 0.566 0.132 1
O7 O 0.680 0.434 0.868 1
O8 O 0.680 0.812 0.246 1
O9 O 0.691 0.441 0.250 1
O10 O 0.925 0.175 0.750 1
O11 O 0.934 0.188 0.368 1
O12 O 0.934 0.566 0.746 1
```

=====

Q: What is the formula in the second record?
A: RbSbWO6